1.
TbTmCdCu: relaxed, PBE.

Cell: 5.0942 5.0942 5.0942 Å, 60.00 60.00 60.00°
Closest atoms and distances in Å follow each position.
Positions (direct):
Tb1 0.0000 0.0000 0.0000  4 Cu 3.12, 4 Cd 3.12
Tm1 0.5000 0.5000 0.5000  4 Cd 3.12, 4 Cu 3.12
Cd1 0.2500 0.2500 0.2500  4 Tm 3.12, 4 Tb 3.12
Cu1 0.7500 0.7500 0.7500  4 Tm 3.12, 4 Tb 3.12

Results
energy relative to the elements = -0.23 eV/atom
polymorph energy (0 for the lowest one) = 0.047 eV/atom

---

2.
LaNbTe2N: relaxed, PBE.

Cell: 6.1739 6.1739 4.0011 Å, 90.00 90.00 90.00°
Closest atoms and distances in Å follow each position.
Positions (direct):
La1 0.0000 0.0000 0.0000  2 N 2.00
Nb1 0.5000 0.5000 0.5000  8 Te 3.68, 2 Nb 4.00
Te1 0.0000 0.5000 0.0000  2 La 3.09
Te2 0.5000 0.0000 0.0000  2 La 3.09
N1 0.0000 0.0000 0.5000  2 La 2.00

Results
energy relative to the elements, uncorrected = 0.65 eV per atom
polymorph energy (0 for the lowest one) = 1.313 eV/atom

---

3.
Mg2TaSnN4: relaxed, PBE.

Cell: 7.0684 5.9434 5.5173 Å, 90.00 90.00 90.00°
Closest atoms and distances in Å follow each position.
Positions (direct):
Mg1 0.2504 0.1674 0.0000  4 N 2.11-2.16
Mg2 0.2496 0.8326 0.5000  4 N 2.11-2.16
Mg3 0.7496 0.1674 0.0000  4 N 2.11-2.16
Mg4 0.7504 0.8326 0.5000  4 N 2.11-2.16
Ta1 0.0000 0.3268 0.5057  4 N 1.97
Ta2 0.5000 0.6732 0.0057  4 N 1.97
Sn1 0.0000 0.6707 0.9983  4 N 2.21-2.24
Sn2 0.5000 0.3293 0.4983  4 N 2.21-2.24
N1 0.0000 0.3202 0.8632  1 Ta 1.97, 2 Mg 2.13
N2 0.0000 0.6440 0.4030  1 Ta 1.97, 2 Mg 2.16
N3 0.2266 0.1704 0.3850  1 Ta 1.97, 2 Mg 2.11-2.13
N4 0.2734 0.8296 0.8850  1 Ta 1.97, 2 Mg 2.11-2.13
N5 0.5000 0.3560 0.9030  1 Ta 1.97, 2 Mg 2.16
N6 0.5000 0.6798 0.3632  1 Ta 1.97, 2 Mg 2.13
N7 0.7266 0.8296 0.8850  1 Ta 1.97, 2 Mg 2.11-2.13
N8 0.7734 0.1704 0.3850  1 Ta 1.97, 2 Mg 2.11-2.13

Results
energy relative to the elements, uncorrected = -0.65 eV per atom

---

4.
AlCuSn2C: relaxed, PBE.

Cell: 5.1003 5.1003 3.6536 Å, 90.00 90.00 90.00°
Closest atoms and distances in Å follow each position.
Positions (direct):
Al1 0.0000 0.0000 0.0000  2 C 1.83
Cu1 0.5000 0.5000 0.0000  8 Sn 3.14
Sn1 0.0000 0.5000 0.5000  2 C 2.55
Sn2 0.5000 0.0000 0.5000  2 C 2.55
C1 0.0000 0.0000 0.5000  2 Al 1.83

Results
energy relative to the elements = 0.68 eV/atom
polymorph energy (0 for the lowest one) = 0.000 eV/atom

---

5.
LaThN: relaxed, PBE.

Cell: 3.5939 3.5939 5.3719 Å, 90.00 90.00 90.00°
Closest atoms and distances in Å follow each position.
Positions (direct):
La1 0.0000 0.0000 0.0000  2 N 2.69
Th1 0.5000 0.5000 0.5000  4 N 2.54
N1 0.0000 0.0000 0.5000  4 Th 2.54, 2 La 2.69

Results
energy relative to the elements, uncorrected = -0.94 eV per atom
polymorph energy (0 for the lowest one) = 0.000 eV/atom

---

6.
Tm2Cr2Ge2C: relaxed, PBE.

Cell: 7.7243 7.7243 7.7243 Å, 150.20 150.20 42.65°
Closest atoms and distances in Å follow each position.
Positions (direct):
Tm1 0.1665 0.1665 0.0000  1 C 2.40
Tm2 0.8335 0.8335 0.0000  1 C 2.40
Cr1 0.0000 0.5000 0.5000  2 C 1.99
Cr2 0.5000 0.0000 0.5000  2 C 1.99
Ge1 0.3808 0.3808 0.0000  4 Cr 2.62, 4 Tm 2.89
Ge2 0.6192 0.6192 0.0000  4 Cr 2.62, 4 Tm 2.89
C1 0.0000 0.0000 0.0000  4 Cr 1.99

Results
energy relative to the elements = -0.51 eV/atom

---

7.
NdThAs2Rh5: relaxed, PBE.

Cell: 4.2907 4.2907 8.9038 Å, 90.00 90.00 90.00°
Closest atoms and distances in Å follow each position.
Positions (direct):
Nd1 0.0000 0.0000 0.0000  12 Rh 3.00-3.03
Th1 0.0000 0.0000 0.5000  8 Rh 3.19, 8 As 3.30
As1 0.5000 0.5000 0.3540  4 Rh 2.39, 1 As 2.60
As2 0.5000 0.5000 0.6460  4 Rh 2.39, 1 As 2.60
Rh1 0.0000 0.5000 0.2349  2 As 2.39
Rh2 0.0000 0.5000 0.7651  2 As 2.39
Rh3 0.5000 0.0000 0.2349  2 As 2.39
Rh4 0.5000 0.0000 0.7651  2 As 2.39
Rh5 0.5000 0.5000 0.0000  8 Rh 3.00, 4 Nd 3.03, 2 As 3.15

Results
energy relative to the elements = -0.76 eV/atom

---

8.
TiHBr3: relaxed, PBE.

Cell: 6.7817 6.7817 8.5856 Å, 93.89 93.89 46.53°
Closest atoms and distances in Å follow each position.
Positions (direct):
Ti1 0.1382 0.1382 0.4088  3 Br 2.37-2.62
Ti2 0.8618 0.8618 0.5912  3 Br 2.37-2.62
H1 0.4704 0.4704 0.0058  1 H 0.75
H2 0.5296 0.5296 0.9942  1 H 0.75
Br1 0.0633 0.0633 0.6860  2 Ti 2.58-2.62
Br2 0.1969 0.1969 0.1519  1 Ti 2.37
Br3 0.3333 0.3333 0.5585  3 Ti 2.66-2.71
Br4 0.6667 0.6667 0.4415  3 Ti 2.66-2.71
Br5 0.8031 0.8031 0.8481  1 Ti 2.37
Br6 0.9367 0.9367 0.3140  2 Ti 2.58-2.62

Results
polymorph energy (0 for the lowest one) = 0.000 eV/atom

---

9.
Ba2Re: relaxed, PBE.

Cell: 8.5923 8.5923 4.8601 Å, 90.00 90.00 120.00°
Closest atoms and distances in Å follow each position.
Positions (direct):
Ba1 0.0000 0.2594 0.0000  4 Re 3.23-3.30
Ba2 0.0000 0.5965 0.5000  5 Re 3.47-3.57, 2 Ba 3.78
Ba3 0.2594 0.0000 0.0000  4 Re 3.23-3.30
Ba4 0.4035 0.4035 0.5000  5 Re 3.47-3.57, 2 Ba 3.78
Ba5 0.5965 0.0000 0.5000  5 Re 3.47-3.57, 2 Ba 3.78
Ba6 0.7406 0.7406 0.0000  4 Re 3.23-3.30
Re1 0.0000 0.0000 0.5000  9 Ba 3.30-3.47
Re2 0.3333 0.6667 0.0000  9 Ba 3.23-3.57
Re3 0.6667 0.3333 0.0000  9 Ba 3.23-3.57

Results
energy relative to the elements = 1.18 eV/atom
polymorph energy (0 for the lowest one) = 0.736 eV/atom

---

10.
KLaSi4: relaxed, PBE.

Cell: 5.7020 5.7020 5.7020 Å, 60.00 60.00 60.00°
Closest atoms and distances in Å follow each position.
Positions (direct):
K1 0.0000 0.0000 0.0000  12 Si 3.39, 4 La 3.49
La1 0.7500 0.7500 0.7500  12 Si 3.31, 4 K 3.49
Si1 0.3913 0.3913 0.3913  3 Si 2.48
Si2 0.3913 0.3913 0.8261  3 Si 2.48
Si3 0.3913 0.8261 0.3913  3 Si 2.48
Si4 0.8261 0.3913 0.3913  3 Si 2.48

Results
energy relative to the elements, uncorrected = -0.10 eV per atom

---

11.
ScCrNi2C: relaxed, PBE.

Cell: 4.3079 4.3079 3.7643 Å, 90.00 90.00 90.00°
Closest atoms and distances in Å follow each position.
Positions (direct):
Sc1 0.0000 0.0000 0.0000  8 Ni 2.86, 4 C 3.05
Cr1 0.5000 0.5000 0.5000  2 C 1.88
Ni1 0.0000 0.5000 0.5000  2 Cr 2.15
Ni2 0.5000 0.0000 0.5000  2 Cr 2.15
C1 0.5000 0.5000 0.0000  2 Cr 1.88

Results
energy relative to the elements = 0.60 eV/atom
polymorph energy (0 for the lowest one) = 0.789 eV/atom

---

12.
Ag2IrAu: relaxed, PBE.

Cell: 2.8000 2.8000 9.9244 Å, 90.00 90.00 118.88°
Closest atoms and distances in Å follow each position.
Positions (direct):
Ag1 0.0000 0.0000 0.0000  8 Ag 2.80-2.88, 2 Au 2.90
Ag2 0.5000 0.5000 0.2523  8 Ag 2.80-2.88, 2 Ir 2.81
Ir1 0.0000 0.0000 0.4968  6 Ir 2.80-2.85, 2 Ag 2.81, 2 Au 2.84
Au1 0.5000 0.5000 0.7449  6 Au 2.80-2.85, 2 Ir 2.84, 2 Ag 2.90

Results
energy relative to the elements = 0.27 eV/atom
polymorph energy (0 for the lowest one) = 0.049 eV/atom

---

Results for M_tot: 0.00 2.53 0.00 0.00 0.00 0.96 0.00 2.00 3.82 0.00 0.00 0.18 (in Bohr magnetons per cell, following the order of the records).
Results for DOS(E_F): 3.14 7.39 3.65 2.10 3.79 5.95 4.81 1.62 14.56 0.41 3.81 4.12 (in states/eV/cell, following the order of the records).